A plane-wave DFT calculation with GGA-PBE was carried out for crystalline Y2ErTh at its relaxed geometry.

For the total energy, the calculation gives -0.2233 Ha/atom. The formation energy is 0.151 eV per atom. For the magnetization, the calculation gives 0.0 μB/f.u. Its distance to the lowest polymorph of the same formula is 0.153 eV/atom.

The structure belongs to space group Fm-3m (No. 225); the cell edges are 8.022, 8.022 and 8.022 Å and the angles 90.00°, 90.00° and 90.00°. The distinct sites, in fractional coordinates, are Y at (0.250, 0.250, 0.250), Er at (0.000, 0.000, 0.000) and Th at (0.000, 0.000, 0.500).